Below is an optimized crystal structure of CuPOsS, with properties calculated at the GGA-PBE level.

The structure in POSCAR format:
```
CuPOsS
1.0
3.8728 -1.5031 0.0000
3.8728 1.5031 0.0000
-2.3878 0.0000 5.3838
Cu P Os S
1 1 1 1
Cartesian
0.0000 0.0000 0.0000 Cu
4.0824 0.0000 3.4583 P
6.2946 0.0000 2.8263 Os
2.1466 0.0000 1.0123 S
```

## Properties
final energy: -6.24 eV/atom
crystal system: monoclinic
offset from the most stable computed form: 18 kJ/mol of formula units
formation energy from raw total energies: -24 meV/atom


Below is an optimized crystal structure of TmSO, with properties calculated at the GGA-PBE level.

The structure in POSCAR format:
```
TmSO
1.0
1.8750 1.0825 8.5095
-1.8750 1.0825 8.5095
0.0000 -2.1650 8.5095
Tm S O
2 2 2
Cartesian
0.0000 0.0000 5.6727 Tm
0.0000 0.0000 19.8558 Tm
0.0000 0.0000 9.5119 S
0.0000 0.0000 16.0166 S
0.0000 0.0000 3.4136 O
0.0000 0.0000 22.1150 O
```

## Properties
final energy: -6.75 eV/atom
crystal system: trigonal
formation energy from raw total energies: -2232 meV/atom


Below is an optimized crystal structure of SmMg2Sn3, with properties calculated at the GGA-PBE level.

The structure in POSCAR format:
```
SmMg2Sn3
1.0
5.5817 -5.4352 0.0000
5.5817 5.4352 0.0000
0.0000 0.0000 5.8634
Sm Mg Sn
2 4 6
Cartesian
5.5817 3.5836 4.3975 Sm
5.5817 -3.5836 1.4658 Sm
3.8065 0.0000 0.0000 Mg
3.8065 0.0000 2.9317 Mg
7.3570 0.0000 0.0000 Mg
7.3570 0.0000 2.9317 Mg
1.5763 1.1786 4.3975 Sn
1.5763 -1.1786 1.4658 Sn
5.5817 1.7586 1.4658 Sn
5.5817 -1.7586 4.3975 Sn
9.5871 1.1786 4.3975 Sn
9.5871 -1.1786 1.4658 Sn
```

## Properties
final energy: -3.41 eV/atom
crystal system: orthorhombic
offset from the most stable computed form: 172 kJ/mol of formula units
E_form: -0.0906 eV per atom


Below is an optimized crystal structure of TbPrScCd, with properties calculated at the GGA-PBE level.

The structure in POSCAR format:
```
TbPrScCd
1.0
3.4629 0.0000 0.0000
0.0000 1.7056 9.7345
0.0000 -1.7056 9.7345
Tb Pr Sc Cd
1 1 1 1
Cartesian
0.0000 0.0000 0.0000 Tb
1.7315 0.0000 3.1776 Pr
1.7315 0.0000 7.3989 Sc
0.0000 0.0000 15.2519 Cd
```

## Properties
final energy: -4.20 eV/atom
crystal system: orthorhombic
offset from the most stable computed form: 7 kJ/mol of formula units
E_form: -0.0329 eV per atom


- Look up the final energy of the third one.
  -3.41 eV/atom